Record 1
Entry from Alexandria: a relaxed structure of K2Tb2ZrS6 (PBE).

POSCAR file:
```
K2Tb2ZrS6
1.0
3.428 -5.884 0.000
3.428 5.884 0.000
-2.315 0.000 7.536
K Tb Zr S
2 2 1 6
Cartesian
3.428 3.890 0.000
3.428 -3.890 0.000
2.270 1.958 3.768
2.270 -1.958 3.768
-1.157 0.000 3.768
-0.071 1.869 5.239
0.995 0.000 2.305
-0.071 -1.869 5.239
4.611 1.869 2.297
3.545 0.000 5.231
4.611 -1.869 2.297
```

Calculated values
* magnetization: 0.00 μB/cell
* formation energy without anion corrections: -1.801 eV/atom
* density of states at the Fermi level: 0.0 states/eV/f.u.
* VASP energy: -5.871 eV per atom



Record 2
Entry from Alexandria: a relaxed structure of KTcS2 (PBE).

POSCAR file:
```
KTcS2
1.0
-1.931 1.931 6.344
1.931 -1.931 6.344
1.931 1.931 -6.344
K Tc S
1 1 2
Cartesian
0.000 0.000 0.000
1.931 0.000 3.172
0.000 0.000 4.358
0.000 0.000 8.330
```

Calculated values
* magnetization: 0.00 μB/cell
* formation energy without anion corrections: -0.578 eV/atom
* relative energy among the computed polymorphs: 0.488 eV/f.u.
* density of states at the Fermi level: 3.9 states/eV/f.u.
* VASP energy: -5.508 eV per atom



Record 3
Entry from Alexandria: a relaxed structure of KTcS2 (PBE).

POSCAR file:
```
KTcS2
1.0
1.584 0.914 9.337
-1.584 0.914 9.337
0.000 -1.829 9.337
K Tc S
1 1 2
Cartesian
0.000 0.000 0.000
0.000 0.000 14.005
0.000 0.000 11.784
0.000 0.000 16.226
```

Calculated values
* magnetization: 0.00 μB/cell
* formation energy without anion corrections: 0.271 eV/atom
* relative energy among the computed polymorphs: 3.885 eV/f.u.
* density of states at the Fermi level: 4.0 states/eV/f.u.
* VASP energy: -4.658 eV per atom



Record 4
Entry from Alexandria: a relaxed structure of K2TcS4 (PBE).

POSCAR file:
```
K2TcS4
1.0
-2.318 2.318 8.257
2.318 -2.318 8.257
2.318 2.318 -8.257
K Tc S
2 1 4
Cartesian
0.000 0.000 2.555
0.000 0.000 13.959
0.000 0.000 8.257
2.318 0.000 0.000
0.000 0.000 5.812
0.000 2.318 0.000
0.000 0.000 10.702
```

Calculated values
* magnetization: 0.63 μB/cell
* formation energy without anion corrections: -0.453 eV/atom
* relative energy among the computed polymorphs: 1.959 eV/f.u.
* density of states at the Fermi level: 5.2 states/eV/f.u.
* VASP energy: -4.606 eV per atom



Record 5
Entry from Alexandria: a relaxed structure of KTcS2 (PBE).

POSCAR file:
```
KTcS2
1.0
-3.482 3.482 4.280
3.482 -3.482 4.280
3.482 3.482 -4.280
K Tc S
2 2 4
Cartesian
0.000 0.000 0.000
0.000 3.482 2.140
3.482 0.000 2.140
0.000 0.000 4.280
1.741 2.525 -1.070
4.439 1.741 1.070
1.741 0.957 3.210
-0.957 1.741 5.350
```

Calculated values
* magnetization: 0.00 μB/cell
* formation energy without anion corrections: -0.600 eV/atom
* relative energy among the computed polymorphs: 0.399 eV/f.u.
* density of states at the Fermi level: 4.0 states/eV/f.u.
* VASP energy: -5.530 eV per atom



Record 6
Entry from Alexandria: a relaxed structure of KTcS2 (PBE).

POSCAR file:
```
KTcS2
1.0
1.805 1.042 8.583
-1.805 1.042 8.583
0.000 -2.084 8.583
K Tc S
1 1 2
Cartesian
0.000 0.000 0.000
0.000 0.000 12.875
0.000 0.000 2.971
0.000 0.000 22.779
```

Calculated values
* magnetization: 2.05 μB/cell
* formation energy without anion corrections: -0.330 eV/atom
* relative energy among the computed polymorphs: 1.479 eV/f.u.
* density of states at the Fermi level: 1.7 states/eV/f.u.
* VASP energy: -5.260 eV per atom